Entry 1:
# PBE-GGA LiFeSi, optimized geometry
data_LiFeSi
_chemical_formula_sum 'Li4 Fe4 Si4'
_cell_length_a 3.963
_cell_length_b 9.060
_cell_length_c 4.025
_cell_angle_alpha 90.00
_cell_angle_beta 90.00
_cell_angle_gamma 90.00
_symmetry_space_group_name_H-M 'P 1'
_symmetry_Int_Tables_number 1
loop_
_symmetry_equiv_pos_as_xyz
'x,y,z'
loop_
_atom_site_label
_atom_site_fract_x
_atom_site_fract_y
_atom_site_fract_z
Li1 0.000 0.928 0.250
Li2 0.000 0.072 0.750
Li3 0.500 0.428 0.250
Li4 0.500 0.572 0.750
Fe1 0.000 0.248 0.250
Fe2 0.000 0.752 0.750
Fe3 0.500 0.748 0.250
Fe4 0.500 0.252 0.750
Si1 0.000 0.632 0.250
Si2 0.000 0.368 0.750
Si3 0.500 0.132 0.250
Si4 0.500 0.868 0.750
# VASP energy   -66.1 eV/cell
# Raw formation energy   -0.24 eV per atom



Entry 2:
# PBE-GGA LiFeSi, optimized geometry
data_LiFeSi
_chemical_formula_sum 'Li1 Fe1 Si1'
_cell_length_a 6.218
_cell_length_b 6.218
_cell_length_c 2.551
_cell_angle_alpha 78.15
_cell_angle_beta 78.17
_cell_angle_gamma 23.68
_symmetry_space_group_name_H-M 'P 1'
_symmetry_Int_Tables_number 1
loop_
_symmetry_equiv_pos_as_xyz
'x,y,z'
loop_
_atom_site_label
_atom_site_fract_x
_atom_site_fract_y
_atom_site_fract_z
Fe1 0.014 0.014 0.986
Li1 0.329 0.329 0.671
Si1 0.657 0.657 0.343
# VASP energy   -15.9 eV/cell
# Raw formation energy   -0.02 eV per atom



Entry 3:
# PBE-GGA LiFe2Si2, optimized geometry
data_LiFe2Si2
_chemical_formula_sum 'Li1 Fe2 Si2'
_cell_length_a 3.531
_cell_length_b 3.531
_cell_length_c 5.839
_cell_angle_alpha 72.40
_cell_angle_beta 72.40
_cell_angle_gamma 90.00
_symmetry_space_group_name_H-M 'P 1'
_symmetry_Int_Tables_number 1
loop_
_symmetry_equiv_pos_as_xyz
'x,y,z'
loop_
_atom_site_label
_atom_site_fract_x
_atom_site_fract_y
_atom_site_fract_z
Si1 0.750 0.250 0.500
Si2 0.250 0.750 0.500
Fe1 0.392 0.392 0.215
Fe2 0.608 0.608 0.785
Li1 0.000 0.000 0.000
# VASP energy   -29.7 eV/cell
# Raw formation energy   0.01 eV per atom



Entry 4:
# PBE-GGA LiFeSi, optimized geometry
data_LiFeSi
_chemical_formula_sum 'Li4 Fe4 Si4'
_cell_length_a 3.895
_cell_length_b 12.689
_cell_length_c 2.750
_cell_angle_alpha 90.00
_cell_angle_beta 90.00
_cell_angle_gamma 90.00
_symmetry_space_group_name_H-M 'P 1'
_symmetry_Int_Tables_number 1
loop_
_symmetry_equiv_pos_as_xyz
'x,y,z'
loop_
_atom_site_label
_atom_site_fract_x
_atom_site_fract_y
_atom_site_fract_z
Li1 0.000 0.000 0.500
Li2 0.500 0.500 0.500
Li3 0.500 0.000 0.000
Li4 0.000 0.500 0.000
Fe1 0.000 0.327 0.500
Fe2 0.000 0.673 0.500
Fe3 0.500 0.827 0.500
Fe4 0.500 0.173 0.500
Si1 0.000 0.174 0.000
Si2 0.000 0.826 0.000
Si3 0.500 0.674 0.000
Si4 0.500 0.326 0.000
# VASP energy   -66.2 eV/cell
# Raw formation energy   -0.25 eV per atom



Entry 5:
# PBE-GGA LiFeSi2Te, optimized geometry
data_LiFeSi2Te
_chemical_formula_sum 'Li1 Fe1 Si2 Te1'
_cell_length_a 5.416
_cell_length_b 4.698
_cell_length_c 5.416
_cell_angle_alpha 90.00
_cell_angle_beta 90.00
_cell_angle_gamma 90.00
_symmetry_space_group_name_H-M 'P 1'
_symmetry_Int_Tables_number 1
loop_
_symmetry_equiv_pos_as_xyz
'x,y,z'
loop_
_atom_site_label
_atom_site_fract_x
_atom_site_fract_y
_atom_site_fract_z
Si1 0.000 0.000 0.500
Si2 0.500 0.000 0.000
Te1 0.000 0.000 0.000
Fe1 0.000 0.500 0.000
Li1 0.500 0.500 0.500
# VASP energy   -18.4 eV/cell
# Raw formation energy   1.18 eV per atom



Entry 6:
# PBE-GGA LiTiFeSi, optimized geometry
data_LiTiFeSi
_chemical_formula_sum 'Li1 Ti1 Fe1 Si1'
_cell_length_a 4.085
_cell_length_b 4.085
_cell_length_c 4.085
_cell_angle_alpha 60.00
_cell_angle_beta 60.00
_cell_angle_gamma 60.00
_symmetry_space_group_name_H-M 'P 1'
_symmetry_Int_Tables_number 1
loop_
_symmetry_equiv_pos_as_xyz
'x,y,z'
loop_
_atom_site_label
_atom_site_fract_x
_atom_site_fract_y
_atom_site_fract_z
Si1 0.750 0.750 0.750
Li1 0.500 0.500 0.500
Fe1 0.000 0.000 0.000
Ti1 0.250 0.250 0.250
# VASP energy   -25.4 eV/cell
# Raw formation energy   -0.43 eV per atom



Among the records above, which one has the highest VASP energy? number 2